BaLiB2 (PBE-GGA, optimized geometry); ΔE_f = 1.2236 eV/atom
1.0
2.684 -3.371 2.043
-2.053 -3.883 1.856
0.542 -4.232 -2.130
B Ba Li
2 1 1
direct
0.250 0.250 0.250 B
0.750 0.750 0.750 B
0.500 0.500 0.500 Ba
0.000 0.000 0.000 Li

BaLiB2 (PBE-GGA, optimized geometry); ΔE_f = 0.7566 eV/atom
1.0
3.993 0.000 0.000
0.000 3.993 0.000
1.997 1.997 8.370
B Ba Li
4 2 2
direct
0.375 0.125 0.250 B
0.375 0.625 0.250 B
0.375 0.625 0.750 B
0.875 0.625 0.750 B
0.000 0.000 0.000 Ba
0.750 0.250 0.500 Ba
0.500 0.500 0.000 Li
0.250 0.750 0.500 Li

BaLiBN2 (PBE-GGA, optimized geometry); formation energy (no corrections) = -0.85 eV per atom
1.0
4.213 0.000 0.000
0.000 5.653 0.078
0.000 -1.574 6.292
Ba Li B N
2 2 2 4
direct
0.255 0.500 0.750 Ba
0.745 0.500 0.250 Ba
0.457 0.000 0.250 Li
0.543 0.000 0.750 Li
0.000 0.000 0.000 B
0.000 0.000 0.500 B
0.788 0.814 0.968 N
0.788 0.186 0.532 N
0.212 0.814 0.468 N
0.212 0.186 0.032 N

Ba3LiB2O6 (PBE-GGA, optimized geometry); formation energy (no corrections) = -2.48 eV per atom
1.0
-1.940 3.447 3.899
1.228 -5.257 1.303
6.888 2.016 1.645
Ba Li B O
3 1 2 6
direct
0.333 0.667 0.677 Ba
0.667 0.333 0.323 Ba
0.000 0.000 0.000 Ba
0.000 0.000 0.500 Li
0.667 0.333 0.714 B
0.333 0.667 0.286 B
0.624 0.812 0.299 O
0.188 0.376 0.299 O
0.188 0.812 0.299 O
0.812 0.624 0.701 O
0.376 0.188 0.701 O
0.812 0.188 0.701 O

Ba2LiB2O6 (PBE-GGA, optimized geometry); formation energy (no corrections) = -2.48 eV per atom
1.0
5.159 0.000 0.000
-2.580 5.342 0.013
0.000 -3.061 5.726
Ba Li B O
2 1 2 6
direct
0.699 0.398 0.195 Ba
0.301 0.602 0.805 Ba
0.500 0.000 0.500 Li
0.977 0.954 0.738 B
0.023 0.046 0.262 B
0.834 0.667 0.671 O
0.182 0.901 0.230 O
0.281 0.099 0.770 O
0.818 0.099 0.770 O
0.719 0.901 0.230 O
0.166 0.333 0.329 O

BaLiBRh2 (PBE-GGA, optimized geometry); ΔE_f = -0.2114 eV/atom
1.0
-0.419 3.724 2.091
-4.188 0.053 -0.933
-0.905 -2.309 3.931
B Rh Ba Li
1 2 1 1
direct
0.000 0.000 0.000 B
0.000 0.500 0.000 Rh
0.500 0.000 0.000 Rh
0.500 0.500 0.500 Ba
0.000 0.000 0.500 Li